No. 1
This record from Alexandria describes Ce3Ge2 after structural relaxation. The functional is GGA-PBE.

a b c (Å): 3.9098 3.9098 8.3708
angles (deg): 103.51 103.51 90.00
With the nearest neighbours (Å) after each atom.
Element x y z (fractional)
Ce 0.0000 0.0000 0.0000  2 Ce 2.94, 8 Ge 3.24
Ce 0.1862 0.1862 0.3725  1 Ce 2.94, 5 Ge 3.04-3.28
Ce 0.8138 0.8138 0.6275  1 Ce 2.94, 5 Ge 3.04-3.28
Ge 0.3936 0.3936 0.7872  9 Ce 3.04-3.28, 1 Ge 3.36
Ge 0.6064 0.6064 0.2128  9 Ce 3.04-3.28, 1 Ge 3.36

Values from the calculation:
E_tot	-5.96	eV per atom
volume	24.156	A^3/atom
calculated formation energy	-0.5558	eV/atom

No. 2
This record from Alexandria describes CeGe after structural relaxation. The functional is GGA-PBE.

a b c (Å): 4.2341 4.2341 4.2341
angles (deg): 60.00 60.00 60.00
With the nearest neighbours (Å) after each atom.
Element x y z (fractional)
Ge 0.0000 0.0000 0.0000  6 Ce 2.99
Ce 0.5000 0.5000 0.5000  6 Ge 2.99

Values from the calculation:
E_tot	-5.92	eV per atom
volume	26.837	A^3/atom
calculated formation energy	-0.6470	eV/atom

No. 3
This record from Alexandria describes Ce2Ge after structural relaxation. The functional is GGA-PBE.

a b c (Å): 4.0049 4.0049 5.4410
angles (deg): 111.60 111.60 90.01
With the nearest neighbours (Å) after each atom.
Element x y z (fractional)
Ge 0.5000 0.5000 0.0000  10 Ce 3.14-3.30
Ce 0.1450 0.1450 0.2900  1 Ce 2.69
Ce 0.8550 0.8550 0.7100  1 Ce 2.69

Values from the calculation:
E_tot	-6.01	eV per atom
volume	24.837	A^3/atom
calculated formation energy	-0.5170	eV/atom

No. 4
This record from Alexandria describes Ce2Ge after structural relaxation. The functional is GGA-PBE.

a b c (Å): 4.4243 4.1703 8.1852
angles (deg): 90.00 105.68 90.00
With the nearest neighbours (Å) after each atom.
Element x y z (fractional)
Ce 0.0000 0.0000 0.0000  4 Ce 3.04, 4 Ge 3.19
Ce 0.5000 0.5000 0.0000  4 Ce 3.04, 4 Ge 3.10
Ce 0.8107 0.5000 0.6214  2 Ce 2.93, 4 Ge 3.12
Ce 0.1893 0.5000 0.3786  2 Ce 2.93, 4 Ge 3.12
Ge 0.6454 0.0000 0.2908  10 Ce 3.10-3.34
Ge 0.3546 0.0000 0.7092  10 Ce 3.10-3.34

Values from the calculation:
E_tot	-6.04	eV per atom
volume	24.234	A^3/atom
calculated formation energy	-0.5452	eV/atom

No. 5
This record from Alexandria describes CeGe after structural relaxation. The functional is GGA-PBE.

a b c (Å): 4.0500 5.9131 8.2279
angles (deg): 90.00 90.00 90.00
With the nearest neighbours (Å) after each atom.
Element x y z (fractional)
Ge 0.2500 0.6403 0.0379  2 Ge 2.69
Ge 0.7500 0.3597 0.9621  2 Ge 2.69
Ge 0.7500 0.1403 0.4621  2 Ge 2.69
Ge 0.2500 0.8597 0.5379  2 Ge 2.69
Ce 0.2500 0.1203 0.1828  7 Ge 3.07-3.30
Ce 0.7500 0.8797 0.8172  7 Ge 3.07-3.30
Ce 0.7500 0.6203 0.3172  7 Ge 3.07-3.30
Ce 0.2500 0.3797 0.6828  7 Ge 3.07-3.30

Values from the calculation:
E_tot	-5.98	eV per atom
volume	24.630	A^3/atom
calculated formation energy	-0.7046	eV/atom

No. 6
This record from Alexandria describes CeGe2 after structural relaxation. The functional is GGA-PBE.

a b c (Å): 4.2112 4.2112 5.7782
angles (deg): 120.11 120.11 91.64
With the nearest neighbours (Å) after each atom.
Element x y z (fractional)
Ge 0.1861 0.1861 0.3009  2 Ge 2.43-2.58
Ge 0.8139 0.8139 0.6991  2 Ge 2.43-2.58
Ce 0.5000 0.5000 0.0000  10 Ge 3.00-3.32

Values from the calculation:
E_tot	-5.50	eV per atom
volume	23.702	A^3/atom
calculated formation energy	-0.4486	eV/atom

No. 7
This record from Alexandria describes Ce6Ge5H after structural relaxation. The functional is GGA-PBE.

a b c (Å): 7.2465 7.2493 7.2417
angles (deg): 59.97 80.39 70.53
With the nearest neighbours (Å) after each atom.
Element x y z (fractional)
Ce 0.7528 0.0823 0.3271  1 H 2.91, 5 Ge 2.95-2.98
Ce 0.2472 0.5906 0.3271  1 H 2.91, 5 Ge 2.95-2.98
Ce 0.2493 0.2447 0.0000  1 H 2.92, 5 Ge 2.97-2.99
Ce 0.7507 0.7553 0.0000  1 H 2.92, 5 Ge 2.97-2.99
Ce 0.7528 0.4094 0.6729  1 H 2.91, 5 Ge 2.95-2.98
Ce 0.2472 0.9177 0.6729  1 H 2.91, 5 Ge 2.95-2.98
Ge 0.5000 0.1693 0.6614  6 Ce 2.95-2.98
Ge 0.0000 0.3335 0.3330  6 Ce 2.97
Ge 0.5000 0.5000 0.0000  6 Ce 2.95-2.99
Ge 0.0000 0.6665 0.6670  6 Ce 2.97
Ge 0.5000 0.8307 0.3386  6 Ce 2.95-2.98
H 0.0000 0.0000 0.0000  6 Ce 2.91-2.92

Values from the calculation:
E_tot	-5.73	eV per atom
volume	25.875	A^3/atom

No. 8
This record from Alexandria describes Ce7Ge3H2 after structural relaxation. The functional is GGA-PBE.

a b c (Å): 4.3389 4.6294 12.7609
angles (deg): 100.45 90.00 90.00
With the nearest neighbours (Å) after each atom.
Element x y z (fractional)
Ce 0.0000 0.3994 0.7989  2 H 2.37
Ce 0.0000 0.7867 0.5734  1 H 2.30
Ce 0.0000 0.0000 0.0000  2 H 3.05, 4 Ge 3.17, 4 Ce 3.18
Ce 0.0000 0.6006 0.2011  2 H 2.37
Ce 0.5000 0.0925 0.1851  2 H 2.29
Ce 0.5000 0.9075 0.8149  2 H 2.29
Ce 0.0000 0.2133 0.4266  1 H 2.30
Ge 0.5000 0.5000 0.0000  12 Ce 3.17-3.33
Ge 0.5000 0.6877 0.3753  10 Ce 3.08-3.33
Ge 0.5000 0.3123 0.6247  10 Ce 3.08-3.33
H 0.0000 0.8783 0.7566  5 Ce 2.29-2.37
H 0.0000 0.1217 0.2434  5 Ce 2.29-2.37

Values from the calculation:
E_tot	-5.65	eV per atom
volume	21.006	A^3/atom

No. 9
This record from Alexandria describes Ce5Ge3H after structural relaxation. The functional is GGA-PBE.

a b c (Å): 7.8817 7.8817 8.6028
angles (deg): 117.26 117.26 90.00
With the nearest neighbours (Å) after each atom.
Element x y z (fractional)
Ce 0.0225 0.5225 0.6910  1 H 2.34
Ce 0.6685 0.1685 0.6910  1 H 2.34
Ce 0.1685 0.0225 0.6910  1 H 2.34
Ce 0.5225 0.6685 0.6910  1 H 2.34
Ce 0.9775 0.4775 0.3090  1 H 2.34
Ce 0.3315 0.8315 0.3090  1 H 2.34
Ce 0.8315 0.9775 0.3090  1 H 2.34
Ce 0.4775 0.3315 0.3090  1 H 2.34
Ce 0.5000 0.5000 0.0000  6 Ge 3.14-3.28
Ce 0.0000 0.0000 0.0000  6 Ge 3.14-3.28
Ge 0.6199 0.1199 0.0000  1 Ge 2.67
Ge 0.3801 0.8801 0.0000  1 Ge 2.67
Ge 0.8801 0.6199 0.0000  1 Ge 2.67
Ge 0.1199 0.3801 0.0000  1 Ge 2.67
Ge 0.2500 0.2500 0.5000  10 Ce 3.16-3.28
Ge 0.7500 0.7500 0.5000  10 Ce 3.16-3.28
H 0.7500 0.2500 0.5000  4 Ce 2.34
H 0.2500 0.7500 0.5000  4 Ce 2.34

Values from the calculation:
E_tot	-5.86	eV per atom
volume	22.617	A^3/atom

No. 10
This record from Alexandria describes Ce3GeH3 after structural relaxation. The functional is GGA-PBE.

a b c (Å): 6.8089 6.8089 7.7707
angles (deg): 64.02 64.02 60.00
With the nearest neighbours (Å) after each atom.
Element x y z (fractional)
Ce 0.2340 0.5839 0.2725  4 H 2.35-2.39
Ce 0.9096 0.2340 0.2725  4 H 2.35-2.39
Ce 0.5839 0.9096 0.2725  4 H 2.35-2.39
Ce 0.4161 0.0904 0.7275  4 H 2.35-2.39
Ce 0.0904 0.7660 0.7275  4 H 2.35-2.39
Ce 0.7660 0.4161 0.7275  4 H 2.35-2.39
Ge 0.3336 0.3336 0.9993  6 Ce 2.93-2.94
Ge 0.6664 0.6664 0.0007  6 Ce 2.93-2.94
H 0.4682 0.7820 0.6226  4 Ce 2.35-2.39
H 0.7820 0.1272 0.6226  4 Ce 2.35-2.39
H 0.1272 0.4682 0.6226  4 Ce 2.35-2.39
H 0.8728 0.5318 0.3774  4 Ce 2.35-2.39
H 0.2180 0.8728 0.3774  4 Ce 2.35-2.39
H 0.5318 0.2180 0.3774  4 Ce 2.35-2.39

Values from the calculation:
E_tot	-5.08	eV per atom
volume	19.223	A^3/atom

No. 11
This record from Alexandria describes Ce3GeH after structural relaxation. The functional is GGA-PBE.

a b c (Å): 6.2934 8.0194 8.6507
angles (deg): 106.42 90.00 90.00
With the nearest neighbours (Å) after each atom.
Element x y z (fractional)
Ce 0.0189 0.7264 0.6441  2 H 2.42-2.45
Ce 0.9811 0.2736 0.3559  2 H 2.42-2.45
Ce 0.5189 0.7736 0.8559  2 H 2.42-2.45
Ce 0.4811 0.2264 0.1441  2 H 2.42-2.45
Ce 0.5491 0.6973 0.5151  2 H 2.36-2.46
Ce 0.4509 0.3027 0.4849  2 H 2.36-2.46
Ce 0.0491 0.8027 0.9849  2 H 2.36-2.46
Ce 0.9509 0.1973 0.0151  2 H 2.36-2.46
Ce 0.2824 0.5627 0.1821  1 H 2.38
Ce 0.7176 0.4373 0.8179  1 H 2.38
Ce 0.7824 0.9373 0.3179  1 H 2.38
Ce 0.2176 0.0627 0.6821  1 H 2.38
Ge 0.7176 0.0512 0.6903  8 Ce 2.98-3.22
Ge 0.2824 0.9488 0.3097  8 Ce 2.98-3.22
Ge 0.2176 0.4488 0.8097  8 Ce 2.98-3.22
Ge 0.7824 0.5512 0.1903  8 Ce 2.98-3.22
H 0.2253 0.5204 0.4407  5 Ce 2.36-2.46
H 0.7747 0.4796 0.5593  5 Ce 2.36-2.46
H 0.7253 0.9796 0.0593  5 Ce 2.36-2.46
H 0.2747 0.0204 0.9407  5 Ce 2.36-2.46

Values from the calculation:
E_tot	-5.55	eV per atom
volume	20.939	A^3/atom